A plane-wave DFT calculation with PBE was carried out for a relaxed AcLa4Ho2Th crystal.

```
AcLa4Ho2Th
1.0
11.775 0.000 0.000
0.000 5.189 0.000
-4.644 0.000 9.351
Ac La Ho Th
2 8 4 2
Direct
0.000 0.000 0.000
0.500 0.500 0.000
0.246 0.000 0.865
0.246 0.500 0.617
0.254 0.000 0.383
0.254 0.500 0.135
0.746 0.000 0.617
0.746 0.500 0.865
0.754 0.000 0.135
0.754 0.500 0.383
0.003 0.500 0.739
0.497 0.000 0.261
0.503 0.000 0.739
0.997 0.500 0.261
0.000 0.000 0.500
0.500 0.500 0.500
```

M_tot = 0.0 Bohr magnetons per cell
Crystal system = monoclinic
SG = No. 12
Calculated volume = 286 Å³/f.u.
Formation energy from the elements = 0.39 eV per formula unit
DFT total energy = -40.002 eV/f.u.